# 1
# GGA-PBE Pm2GdZr, relaxed
data_Pm2GdZr
_chemical_formula_sum 'Pm2 Gd1 Zr1'
_space_group_name_H-M_alt 'P 4/m m m'
_space_group_IT_number 123
_space_group_name_Hall '-P 4 2'
_cell_length_a 4.958
_cell_length_b 4.958
_cell_length_c 4.917
_cell_angle_alpha 90.00
_cell_angle_beta 90.00
_cell_angle_gamma 90.00
loop_
_atom_site_label
_atom_site_type_symbol
_atom_site_fract_x
_atom_site_fract_y
_atom_site_fract_z
Pm1 Pm 0.000 0.500 0.000
Gd1 Gd 0.000 0.000 0.500
Zr1 Zr 0.500 0.500 0.500
# energy of formation from the pure elements: 0.5 eV per formula unit
# total moment: 1.77 μB/atom

# 2
# GGA-PBE PmGdZr2, relaxed
data_PmGdZr2
_chemical_formula_sum 'Pm1 Gd1 Zr2'
_space_group_name_H-M_alt 'P 4/m m m'
_space_group_IT_number 123
_space_group_name_Hall '-P 4 2'
_cell_length_a 4.715
_cell_length_b 4.715
_cell_length_c 4.906
_cell_angle_alpha 90.00
_cell_angle_beta 90.00
_cell_angle_gamma 90.00
loop_
_atom_site_label
_atom_site_type_symbol
_atom_site_fract_x
_atom_site_fract_y
_atom_site_fract_z
Pm1 Pm 0.000 0.000 0.000
Gd1 Gd 0.500 0.500 0.000
Zr1 Zr 0.000 0.500 0.500
# energy of formation from the pure elements: 0.6 eV per formula unit
# total moment: 1.76 μB/atom

# 3
# GGA-PBE Pm2GdZr, relaxed
data_Pm2GdZr
_chemical_formula_sum 'Pm8 Gd4 Zr4'
_space_group_name_H-M_alt 'F m -3 m'
_space_group_IT_number 225
_space_group_name_Hall '-F 4 2 3'
_cell_length_a 7.843
_cell_length_b 7.843
_cell_length_c 7.843
_cell_angle_alpha 90.00
_cell_angle_beta 90.00
_cell_angle_gamma 90.00
loop_
_atom_site_label
_atom_site_type_symbol
_atom_site_fract_x
_atom_site_fract_y
_atom_site_fract_z
Pm1 Pm 0.250 0.250 0.250
Gd1 Gd 0.000 0.000 0.000
Zr1 Zr 0.000 0.000 0.500
# energy of formation from the pure elements: 0.9 eV per formula unit
# total moment: 1.48 μB/atom

# 4
# GGA-PBE Pm2GdZr, relaxed
data_Pm2GdZr
_chemical_formula_sum 'Pm2 Gd1 Zr1'
_space_group_name_H-M_alt 'P 4/m m m'
_space_group_IT_number 123
_space_group_name_Hall '-P 4 2'
_cell_length_a 3.484
_cell_length_b 3.484
_cell_length_c 10.043
_cell_angle_alpha 90.00
_cell_angle_beta 90.00
_cell_angle_gamma 90.00
loop_
_atom_site_label
_atom_site_type_symbol
_atom_site_fract_x
_atom_site_fract_y
_atom_site_fract_z
Pm1 Pm 0.000 0.000 0.231
Gd1 Gd 0.500 0.500 0.500
Zr1 Zr 0.500 0.500 0.000
# energy of formation from the pure elements: 0.4 eV per formula unit
# total moment: 1.87 μB/atom

# 5
# GGA-PBE PrGdPt2, relaxed
data_PrGdPt2
_chemical_formula_sum 'Pr3 Gd3 Pt6'
_space_group_name_H-M_alt 'R -3 m'
_space_group_IT_number 166
_space_group_name_Hall '-R 3 2"'
_cell_length_a 4.1693
_cell_length_b 4.1693
_cell_length_c 20.3937
_cell_angle_alpha 90.00
_cell_angle_beta 90.00
_cell_angle_gamma 120.00
loop_
_atom_site_label
_atom_site_type_symbol
_atom_site_fract_x
_atom_site_fract_y
_atom_site_fract_z
Pr1 Pr 0.0000 0.0000 0.0000
Gd1 Gd 0.0000 0.0000 0.5000
Pt1 Pt 0.0000 0.0000 0.2464
# energy of formation from the pure elements: -4.3 eV per formula unit
# total moment: 1.78 μB/atom

# 6
# GGA-PBE PrGd2Pt, relaxed
data_PrGd2Pt
_chemical_formula_sum 'Pr3 Gd6 Pt3'
_space_group_name_H-M_alt 'R -3 m'
_space_group_IT_number 166
_space_group_name_Hall '-R 3 2"'
_cell_length_a 3.8967
_cell_length_b 3.8967
_cell_length_c 28.6790
_cell_angle_alpha 90.00
_cell_angle_beta 90.00
_cell_angle_gamma 120.00
loop_
_atom_site_label
_atom_site_type_symbol
_atom_site_fract_x
_atom_site_fract_y
_atom_site_fract_z
Pr1 Pr 0.0000 0.0000 0.0000
Gd1 Gd 0.0000 0.0000 0.2271
Pt1 Pt 0.0000 0.0000 0.5000
# energy of formation from the pure elements: -2.0 eV per formula unit
# total moment: 3.60 μB/atom